No. 1
Computed, not measured: an optimized crystal structure of LaZnPtBr at the GGA-PBE level of DFT.

E   -4.675 eV/atom
Size of the total moment   0.00 Bohr magnetons per cell
Theoretical density   7.01 g cm⁻³
Symmetry   R-3m
Energy relative to the elements, uncorrected   -1.20 eV/atom

Cell: 4.354 4.354 14.054 Å, 81.09 81.09 60.00°
Fractional coordinates of all 8 atoms:
1 Zn 0.311 0.311 0.067
2 La 0.079 0.079 0.763
3 Br 0.791 0.791 0.627
4 Zn 0.689 0.689 0.933
5 Pt 0.626 0.626 0.122
6 La 0.921 0.921 0.237
7 Pt 0.374 0.374 0.878
8 Br 0.209 0.209 0.373

***

No. 2
Computed, not measured: an optimized crystal structure of Pm5Nd2Y at the GGA-PBE level of DFT.

E   -4.956 eV/atom
Size of the total moment   0.00 Bohr magnetons per cell
DFT formation energy   13.1 meV/atom
Theoretical density   6.66 g cm⁻³
Symmetry   Pbam

Cell: 5.151 7.302 14.622 Å, 90.00 90.00 90.00°
Fractional coordinates of all 16 atoms:
1 Nd 0.500 0.250 0.625
2 Y 0.000 0.500 0.000
3 Nd 0.500 0.750 0.375
4 Pm 0.000 0.501 0.250
5 Nd 0.500 0.750 0.875
6 Pm 0.000 0.500 0.500
7 Y 0.000 0.000 0.500
8 Pm 0.000 0.499 0.750
9 Pm 0.500 0.749 0.625
10 Pm 0.500 0.249 0.875
11 Pm 0.000 0.001 0.250
12 Pm 0.000 0.000 0.000
13 Nd 0.500 0.250 0.125
14 Pm 0.500 0.251 0.375
15 Pm 0.000 0.999 0.750
16 Pm 0.500 0.751 0.125